(1)
## TbSm6Th (PBE)

Data for TbSm6Th after structural relaxation.

Computed properties:
E (eV per atom): -4.84
Space group: P-1
Polymorph energy (0 for the lowest one) (meV/atom): 166

a = 6.702 Å, b = 6.655 Å, c = 6.851 Å
α = 88.29°, β = 60.88°, γ = 88.11°
Atoms (fractional coordinates):
Tb 0.000 0.500 0.000
Sm 0.076 0.751 0.499
Sm 0.575 0.748 0.504
Sm 0.425 0.252 0.496
Sm 0.924 0.249 0.501
Sm 0.531 0.756 0.002
Sm 0.469 0.244 0.998
Th 0.000 0.000 0.000

(2)
## VZn3Ni6 (PBE)

Data for VZn3Ni6 after structural relaxation.

Computed properties:
E (eV per atom): -4.97
Space group: P2_1/m

a = 3.694 Å, b = 7.812 Å, c = 8.203 Å
α = 93.47°, β = 90.00°, γ = 90.00°
Atoms (fractional coordinates):
V 0.250 0.942 0.618
V 0.750 0.058 0.382
Zn 0.250 0.551 0.399
Zn 0.750 0.449 0.601
Zn 0.250 0.348 0.803
Zn 0.750 0.652 0.197
Zn 0.250 0.753 0.993
Zn 0.750 0.247 0.007
Ni 0.250 0.449 0.102
Ni 0.750 0.551 0.898
Ni 0.250 0.149 0.208
Ni 0.750 0.851 0.792
Ni 0.250 0.650 0.698
Ni 0.750 0.350 0.302
Ni 0.250 0.239 0.499
Ni 0.750 0.761 0.501
Ni 0.250 0.858 0.305
Ni 0.750 0.142 0.695
Ni 0.250 0.050 0.902
Ni 0.750 0.950 0.098

no.,total moment (μB/atom),formation enthalpy at 0 K (eV/atom),calculated volume (Å³/atom)
1,0.000,0.202,33.35
2,0.000,-0.212,11.82